## C (GGA-PBE)

Data for an optimized crystal structure of C.

a b c (Å): 2.5271 2.5271 2.5271
angles (deg): 60.00 60.00 60.00
Closest atoms and distances in Å follow each position.
Fractional coordinates of all 2 atoms:
1 C 0.0000 0.0000 0.0000  4 C 1.55
2 C 0.7500 0.7500 0.7500  4 C 1.55

Calculated values
As for the symmetry: Fd-3m. The calculation puts the raw total energy at -18.18 eV/cell. The distance to the lowest polymorph of the same formula comes out at 0.1346 eV/atom. Its energy of formation from the pure elements is 0.13 eV/f.u.